Li4Cu3Ni2Sb3O16: relaxed, GGA+U.

Summary:
density of states at the Fermi level	7.21	states/eV/cell
space group	Cm, No. 8
calculated total energy	-0.3970	Ry/atom

Unit cell a=6.1000 b=6.1000 c=9.5443 alpha=90.79 beta=90.79 gamma=59.01
Closest atoms and distances in Å follow each position.
Positions (direct):
1 Li 0.0000 0.0000 0.0000  4 O 2.04-2.06
2 Li 0.3186 0.3186 0.4707  4 O 1.90-2.08
3 Li 0.5534 0.5534 0.5733  3 O 1.86-1.98
4 Li 0.6606 0.6606 0.1152  4 O 1.78-1.95
5 Cu 0.3287 0.8346 0.3231  6 O 1.96-2.11
6 Cu 0.5001 0.5001 0.8343  4 O 1.92-1.99
7 Cu 0.8346 0.3287 0.3231  6 O 1.96-2.11
8 Ni 0.0053 0.0053 0.5947  6 O 2.08-2.16
9 Ni 0.3388 0.3388 0.1087  6 O 2.06-2.28
10 Sb 0.0037 0.5008 0.8134  6 O 2.00-2.05
11 Sb 0.5008 0.0037 0.8134  6 O 2.00-2.05
12 Sb 0.8364 0.8364 0.3299  6 O 2.02-2.03
13 O 0.1414 0.1414 0.4398  1 Li 1.90, 2 Cu 1.96, 1 Ni 2.08
14 O 0.1550 0.6957 0.4525  1 Li 1.99, 1 Sb 2.03, 1 Cu 2.09, 1 Ni 2.10
15 O 0.1850 0.1850 0.9394  2 Sb 2.05, 1 Li 2.06, 1 Ni 2.28
16 O 0.1886 0.6274 0.9367  1 Cu 1.92, 1 Sb 2.02, 1 Li 2.04
17 O 0.3103 0.3103 0.6884  2 Sb 2.01, 1 Li 2.08
18 O 0.3529 0.8138 0.7176  1 Li 1.98, 1 Cu 1.99, 1 Sb 2.00, 1 Ni 2.16
19 O 0.5105 0.5105 0.2131  1 Li 1.86, 2 Cu 1.99, 1 Ni 2.06
20 O 0.5144 0.9898 0.2123  1 Li 1.95, 1 Sb 2.02, 1 Ni 2.08, 1 Cu 2.11
21 O 0.6274 0.1886 0.9367  1 Cu 1.92, 1 Sb 2.02, 1 Li 2.04
22 O 0.6689 0.6689 0.4286  1 Li 1.86, 1 Sb 2.03, 2 Cu 2.04
23 O 0.6930 0.6930 0.9325  1 Li 1.78
24 O 0.6957 0.1550 0.4525  1 Li 1.99, 1 Sb 2.03, 1 Cu 2.09, 1 Ni 2.10
25 O 0.8138 0.3529 0.7176  1 Li 1.98, 1 Cu 1.99, 1 Sb 2.00, 1 Ni 2.16
26 O 0.8303 0.8303 0.7041  2 Sb 2.02, 1 Ni 2.15
27 O 0.9898 0.5144 0.2123  1 Li 1.95, 1 Sb 2.02, 1 Ni 2.08, 1 Cu 2.11
28 O 0.9951 0.9951 0.2133  2 Cu 2.03, 1 Sb 2.03, 1 Li 2.04